## A
Nd8Ag2Os | GGA-PBE | relaxed

extended XYZ file:
```
11
Lattice="9.0071 -2.6667 0.0000 9.0071 2.6667 0.0000 -2.0433 0.0000 6.8135" Properties=species:S:1:pos:R:3 pbc="T T T"
Nd -0.1538 0.0000 1.9997
Nd 1.9699 0.0000 5.5319
Nd 5.0788 0.0000 3.5816
Nd 7.2748 0.0000 0.4469
Nd 8.6962 0.0000 6.3665
Nd 10.8922 0.0000 3.2318
Nd 14.0011 0.0000 1.2815
Nd 16.1249 0.0000 4.8138
Ag 2.8360 0.0000 1.4867
Ag 13.1350 0.0000 5.3268
Os 7.9855 0.0000 3.4067
```

---

## B
Nd8Ag2Os | GGA-PBE | relaxed

extended XYZ file:
```
11
Lattice="4.0455 -8.0709 0.0000 4.0455 8.0709 0.0000 -3.7486 0.0000 5.1754" Properties=species:S:1:pos:R:3 pbc="T T T"
Nd 0.0000 0.0000 0.0000
Nd 2.2216 6.1249 2.9132
Nd 3.2017 1.8076 1.1576
Nd 1.1369 0.0000 3.4584
Nd 2.5328 3.0802 4.6100
Nd 3.2017 -1.8076 1.1576
Nd 2.2216 -6.1249 2.9132
Nd 2.5328 -3.0802 4.6100
Ag 0.6218 3.4250 1.8230
Ag 0.6218 -3.4250 1.8230
Os 5.5337 0.0000 0.9519
```

---

Of them, A has the highest stability.

---

## A
Nd2PaAg | GGA-PBE | relaxed

extended XYZ file:
```
4
Lattice="1.6442 0.9493 11.7807 -1.6442 0.9493 11.7807 0.0000 -1.8985 11.7807" Properties=species:S:1:pos:R:3 pbc="T T T"
Nd 0.0000 0.0000 3.2563
Nd 0.0000 0.0000 32.0858
Pa 0.0000 0.0000 0.0000
Ag 0.0000 0.0000 17.6711
```

---

## B
Nd2PaAg | GGA-PBE | relaxed

extended XYZ file:
```
4
Lattice="5.6583 0.0000 0.0000 0.0000 5.6583 0.0000 0.0000 0.0000 3.4011" Properties=species:S:1:pos:R:3 pbc="T T T"
Nd 0.0000 2.8291 0.0000
Nd 2.8291 0.0000 0.0000
Pa 0.0000 0.0000 1.7005
Ag 2.8291 2.8291 1.7005
```

---

Of them, B has the highest stability.

---

## A
NdAgPd2 | GGA-PBE | relaxed

extended XYZ file:
```
8
Lattice="4.8207 0.0000 0.0000 0.0000 6.1894 0.0000 0.0000 0.0000 5.3438" Properties=species:S:1:pos:R:3 pbc="T T T"
Nd 1.2052 1.5473 0.9146
Nd 3.6155 4.6420 4.4292
Ag 1.2052 4.6420 1.2179
Ag 3.6155 1.5473 4.1259
Pd 1.2052 0.0712 3.5757
Pd 1.2052 3.0235 3.5757
Pd 3.6155 3.1659 1.7680
Pd 3.6155 6.1182 1.7680
```

---

## B
NdAgPd2 | GGA-PBE | relaxed

extended XYZ file:
```
4
Lattice="3.6129 0.0000 0.0000 0.0000 3.6129 0.0000 0.0000 0.0000 6.1059" Properties=species:S:1:pos:R:3 pbc="T T T"
Nd 0.0000 0.0000 0.0000
Ag 0.0000 0.0000 3.0530
Pd 1.8064 1.8064 1.6250
Pd 1.8064 1.8064 4.4809
```

---

Of them, A has the highest stability.

---

## A
NdAgPd2 | GGA-PBE | relaxed

extended XYZ file:
```
4
Lattice="4.4187 0.0000 0.0000 0.0000 4.4187 0.0000 0.0000 0.0000 3.9888" Properties=species:S:1:pos:R:3 pbc="T T T"
Nd 0.0000 0.0000 0.0000
Ag 2.2093 2.2093 0.0000
Pd 0.0000 2.2093 1.9944
Pd 2.2093 0.0000 1.9944
```

---

## B
NdAgPd2 | GGA-PBE | relaxed

extended XYZ file:
```
4
Lattice="2.3236 1.3415 4.4566 -2.3236 1.3415 4.4566 0.0000 -2.6830 4.4566" Properties=species:S:1:pos:R:3 pbc="T T T"
Nd 0.0000 0.0000 0.0000
Ag 0.0000 0.0000 6.6849
Pd 0.0000 0.0000 2.9390
Pd 0.0000 0.0000 10.4309
```

---

Of them, A has the highest stability.